(A)
# YMgS3

YMgS3 after structural relaxation (PBE, the Alexandria database).

a = 6.9207 Å, b = 6.9207 Å, c = 6.7779 Å
α = 73.82°, β = 73.82°, γ = 111.99°
With the nearest neighbours (Å) after each atom.
Atoms (fractional coordinates):
Y  0.7818  0.7818  0.2513  6 S 2.67-2.93
Y  0.2182  0.2182  0.7487  6 S 2.67-2.93
Mg  0.6610  0.3389  0.0000  4 S 2.54-2.57
Mg  0.3389  0.6610  0.0000  4 S 2.54-2.57
S  0.9269  0.2288  0.1482  1 Mg 2.57, 1 Y 2.67, 1 S 2.81
S  0.0731  0.7712  0.8518  1 Mg 2.57, 1 Y 2.67, 1 S 2.81
S  0.7712  0.0731  0.8518  1 Mg 2.57, 1 Y 2.67, 1 S 2.81
S  0.2288  0.9269  0.1482  1 Mg 2.57, 1 Y 2.67, 1 S 2.81
S  0.5824  0.5824  0.7098  2 Mg 2.54, 2 Y 2.69-2.70
S  0.4176  0.4176  0.2902  2 Mg 2.54, 2 Y 2.69-2.70

Output
Space-group type   No. 12
Total magnetic moment   1.01 μB per formula unit

(B)
# YMgS3

YMgS3 after structural relaxation (PBE, the Alexandria database).

a = 5.1859 Å, b = 5.1859 Å, c = 5.1859 Å
α = 90.00°, β = 90.00°, γ = 90.00°
With the nearest neighbours (Å) after each atom.
Atoms (fractional coordinates):
Y  0.0000  0.0000  0.0000  6 S 2.59
S  0.0000  0.5000  0.0000  2 Y 2.59
S  0.0000  0.0000  0.5000  2 Y 2.59
S  0.5000  0.0000  0.0000  2 Y 2.59
Mg  0.5000  0.5000  0.5000  12 S 3.67

Output
Space-group type   No. 221
Total magnetic moment   0.00 μB per formula unit

(C)
# YMgS3

YMgS3 after structural relaxation (PBE, the Alexandria database).

a = 4.7232 Å, b = 4.7232 Å, c = 4.7232 Å
α = 90.00°, β = 90.00°, γ = 90.00°
With the nearest neighbours (Å) after each atom.
Atoms (fractional coordinates):
Y  0.5000  0.5000  0.5000  12 S 3.34
S  0.0000  0.5000  0.0000  2 Mg 2.36
S  0.0000  0.0000  0.5000  2 Mg 2.36
S  0.5000  0.0000  0.0000  2 Mg 2.36
Mg  0.0000  0.0000  0.0000  6 S 2.36

Output
Space-group type   No. 221
Total magnetic moment   0.00 μB per formula unit

Most stable structure, least stable structure: (A), (B).

(A)
# MgZrS3

MgZrS3 after structural relaxation (PBE, the Alexandria database).

a = 4.9650 Å, b = 4.9650 Å, c = 4.9650 Å
α = 90.00°, β = 90.00°, γ = 90.00°
With the nearest neighbours (Å) after each atom.
Atoms (fractional coordinates):
S  0.0000  0.5000  0.0000  2 Zr 2.48
S  0.0000  0.0000  0.5000  2 Zr 2.48
S  0.5000  0.0000  0.0000  2 Zr 2.48
Mg  0.5000  0.5000  0.5000  12 S 3.51
Zr  0.0000  0.0000  0.0000  6 S 2.48

Output
Space-group type   No. 221
Total magnetic moment   0.00 μB per formula unit

(B)
# MgZrS3

MgZrS3 after structural relaxation (PBE, the Alexandria database).

a = 3.7268 Å, b = 6.5777 Å, c = 9.0875 Å
α = 101.74°, β = 90.00°, γ = 90.00°
With the nearest neighbours (Å) after each atom.
Atoms (fractional coordinates):
Mg  0.2500  0.7183  0.9623  4 S 2.49-2.64
Mg  0.7500  0.2817  0.0377  4 S 2.49-2.64
Zr  0.2500  0.8474  0.3342  6 S 2.49-2.66
Zr  0.7500  0.1526  0.6658  6 S 2.49-2.66
S  0.2500  0.0418  0.8434  3 Mg 2.58-2.82, 2 Zr 2.66
S  0.7500  0.9582  0.1566  3 Mg 2.58-2.82, 2 Zr 2.66
S  0.2500  0.4935  0.1720  1 Zr 2.49, 3 Mg 2.49-2.64
S  0.7500  0.5065  0.8280  1 Zr 2.49, 3 Mg 2.49-2.64
S  0.2500  0.2286  0.4951  3 Zr 2.54-2.63
S  0.7500  0.7714  0.5049  3 Zr 2.54-2.63

Output
Space-group type   No. 11
Total magnetic moment   0.00 μB per formula unit

(C)
# MgZrS3

MgZrS3 after structural relaxation (PBE, the Alexandria database).

a = 4.6376 Å, b = 4.6376 Å, c = 4.6376 Å
α = 90.00°, β = 90.00°, γ = 90.00°
With the nearest neighbours (Å) after each atom.
Atoms (fractional coordinates):
S  0.0000  0.5000  0.0000  2 Mg 2.32
S  0.0000  0.0000  0.5000  2 Mg 2.32
S  0.5000  0.0000  0.0000  2 Mg 2.32
Mg  0.0000  0.0000  0.0000  6 S 2.32
Zr  0.5000  0.5000  0.5000  12 S 3.28

Output
Space-group type   No. 221
Total magnetic moment   0.00 μB per formula unit

Most stable structure, least stable structure: (B), (C).

(A)
# MgZrS2

MgZrS2 after structural relaxation (PBE, the Alexandria database).

a = 7.9873 Å, b = 7.9873 Å, c = 7.9873 Å
α = 26.87°, β = 26.87°, γ = 26.87°
With the nearest neighbours (Å) after each atom.
Atoms (fractional coordinates):
S  0.8950  0.8950  0.8950  1 Zr 2.42, 3 Mg 2.57
S  0.1050  0.1050  0.1050  1 Zr 2.42, 3 Mg 2.57
Mg  0.5000  0.5000  0.5000  6 S 2.57
Zr  0.0000  0.0000  0.0000  2 S 2.42

Output
Space-group type   No. 166
Total magnetic moment   0.00 μB per formula unit

(B)
# MgZrS2

MgZrS2 after structural relaxation (PBE, the Alexandria database).

a = 4.6098 Å, b = 4.6098 Å, c = 4.6098 Å
α = 60.00°, β = 60.00°, γ = 60.00°
With the nearest neighbours (Å) after each atom.
Atoms (fractional coordinates):
S  0.2500  0.2500  0.2500  4 Zr 2.82, 4 Mg 2.82
S  0.7500  0.7500  0.7500  4 Zr 2.82, 4 Mg 2.82
Mg  0.0000  0.0000  0.0000  8 S 2.82
Zr  0.5000  0.5000  0.5000  8 S 2.82

Output
Space-group type   No. 225
Total magnetic moment   1.76 μB per formula unit

(C)
# MgZrS2

MgZrS2 after structural relaxation (PBE, the Alexandria database).

a = 3.4922 Å, b = 3.4922 Å, c = 7.1558 Å
α = 75.88°, β = 75.88°, γ = 60.00°
With the nearest neighbours (Å) after each atom.
Atoms (fractional coordinates):
Mg  0.4998  0.4998  0.5007  6 S 2.63-2.64
Zr  0.6664  0.6664  0.0007  6 S 2.66-2.67
S  0.0847  0.0847  0.7458  3 Mg 2.63, 3 Zr 2.67
S  0.2490  0.2490  0.2529  3 Mg 2.64, 3 Zr 2.66

Output
Space-group type   No. 160
Total magnetic moment   0.00 μB per formula unit

Most stable structure, least stable structure: (C), (A).

(A)
# MgZrS2

MgZrS2 after structural relaxation (PBE, the Alexandria database).

a = 5.8792 Å, b = 5.8792 Å, c = 6.8608 Å
α = 64.63°, β = 64.63°, γ = 90.00°
With the nearest neighbours (Å) after each atom.
Atoms (fractional coordinates):
S  0.6123  0.1250  0.2500  2 Mg 2.44, 2 Zr 2.53
S  0.1377  0.6250  0.2500  2 Mg 2.44, 2 Zr 2.53
S  0.3750  0.3877  0.7500  2 Mg 2.44, 2 Zr 2.53
S  0.8750  0.8623  0.7500  2 Mg 2.44, 2 Zr 2.53
Mg  0.5000  0.5000  0.0000  4 S 2.44
Mg  0.2500  0.7500  0.5000  4 S 2.44
Zr  0.0000  0.0000  0.0000  4 S 2.53
Zr  0.7500  0.2500  0.5000  4 S 2.53

Output
Space-group type   No. 122
Total magnetic moment   0.00 μB per formula unit

(B)
# MgZrS2

MgZrS2 after structural relaxation (PBE, the Alexandria database).

a = 8.5149 Å, b = 8.5149 Å, c = 8.5149 Å
α = 24.30°, β = 24.30°, γ = 24.30°
With the nearest neighbours (Å) after each atom.
Atoms (fractional coordinates):
S  0.8962  0.8962  0.8962  1 Mg 2.57, 3 Zr 2.59
S  0.1038  0.1038  0.1038  1 Mg 2.57, 3 Zr 2.59
Mg  0.0000  0.0000  0.0000  2 S 2.57
Zr  0.5000  0.5000  0.5000  6 S 2.59

Output
Space-group type   No. 166
Total magnetic moment   0.00 μB per formula unit

Most stable structure, least stable structure: (B), (A).